# Dy2ErTmSc5 | Alexandria | PBE | optimized geometry
# - N(E_F) (states/eV/f.u.) = 15.819
# - calculated volume (Å³ per cell) = 1008
# - calculated total energy (eV/atom) = -5.3787
data_Dy2ErTmSc5
_space_group_name_H-M_alt 'C m c 21'
_space_group_IT_number 36
_space_group_name_Hall 'C 2c -2'
_cell_length_a 5.3078
_cell_length_b 18.4508
_cell_length_c 10.2906
_cell_angle_alpha 90.00
_cell_angle_beta 90.00
_cell_angle_gamma 90.00
loop_
_atom_site_label
_atom_site_type_symbol
_atom_site_fract_x
_atom_site_fract_y
_atom_site_fract_z
Dy1 Dy 0.0000 0.1083 0.0000
Dy2 Dy 0.0000 0.1126 0.5903
Er1 Er 0.0000 0.4170 0.7287
Tm1 Tm 0.0000 0.2068 0.2776
Sc1 Sc 0.0000 0.0211 0.2994
Sc2 Sc 0.0000 0.2862 0.5683
Sc3 Sc 0.0000 0.2991 0.9784
Sc4 Sc 0.0000 0.3972 0.2896
Sc5 Sc 0.0000 0.4790 0.0029